[1]
Material: Fe5Ir12Rh2
Method: DFT, PBE
State: optimized geometry Values from VASP.

Results
The formation energy is 204.3 meV per atom. The uncorrected energy is -8.3930 eV per atom. Its space group is C2/m, No. 12.

```
&SYSTEM
  ibrav = 0, nat = 19, ntyp = 3
/
ATOMIC_SPECIES
Fe 55.84 Fe.upf
Ir 192.22 Ir.upf
Rh 102.91 Rh.upf
ATOMIC_POSITIONS crystal
Fe 0.949 0.760 0.760
Ir 0.187 0.908 0.908
Fe 0.500 0.000 0.000
Ir 0.399 0.143 0.658
Ir 0.205 0.470 0.947
Rh 0.000 0.300 0.700
Fe 0.397 0.264 0.264
Ir 0.399 0.658 0.143
Fe 0.603 0.736 0.736
Ir 0.289 0.535 0.535
Ir 0.601 0.342 0.857
Ir 0.205 0.947 0.470
Fe 0.051 0.240 0.240
Ir 0.601 0.857 0.342
Ir 0.711 0.465 0.465
Rh 0.000 0.700 0.300
Ir 0.795 0.053 0.530
Ir 0.795 0.530 0.053
Ir 0.813 0.092 0.092
CELL_PARAMETERS angstrom
-5.592 3.943 1.817
-1.018 -1.317 6.266
2.508 5.574 2.162
```

[2]
Material: RbNdO2
Method: DFT, PBE
State: optimized geometry Values from VASP.

Results
The uncorrected energy is -6.4337 eV per atom. The formation energy from raw total energies comes out at -10.08 eV/f.u. Its space group is R3m, No. 160.

```
&SYSTEM
  ibrav = 0, nat = 4, ntyp = 3
/
ATOMIC_SPECIES
O 16.00 O.upf
Nd 144.24 Nd.upf
Rb 85.47 Rb.upf
ATOMIC_POSITIONS crystal
O 0.275 0.275 0.175
O 0.062 0.062 0.815
Nd 0.667 0.667 0.999
Rb 0.497 0.497 0.510
CELL_PARAMETERS angstrom
-1.329 -2.717 -2.047
1.027 -3.445 0.648
-5.232 -2.776 3.825
```